No. 1
Below is a PBEsol-optimized structure of CuSnHg2Cl, with properties calculated at the SCAN level.

Values from the calculation:
**Mass density**: 6.67 g cm⁻³
**ΔE_f (raw)**: 0.841 eV per atom
**M_tot**: 0.000 μB/cell
**Fermi-level density of states**: 2.70 states/eV per cell

abc: 5.274 5.407 5.407
angles: 90.00 90.00 90.00
Positions (direct):
Cl (0.000, 0.000, 0.000)
Hg (0.000, 0.000, 0.500)
Hg (0.000, 0.500, 0.000)
Cu (0.500, 0.500, 0.500)
Sn (0.500, 0.000, 0.000)


No. 2
Below is a PBEsol-optimized structure of MnFe2Br, with properties calculated at the SCAN level.

Values from the calculation:
**Mass density**: 7.48 g cm⁻³
**ΔE_f (raw)**: 0.531 eV per atom
**M_tot**: 9.517 μB/cell
**Fermi-level density of states**: 2.02 states/eV per cell

abc: 3.086 4.287 4.287
angles: 105.21 90.00 90.00
Each line ends with the local moment (μB).
Positions (direct):
Br (0.500, 0.500, 0.500)  0.14
Fe (0.000, 0.500, 0.000)  2.95
Fe (0.000, 0.000, 0.500)  2.95
Mn (0.500, 0.000, 0.000)  3.49


No. 3
Below is a PBEsol-optimized structure of Ba2ZnCd2, with properties calculated at the SCAN level.

Values from the calculation:
**Mass density**: 5.33 g cm⁻³
**M_tot**: 0.000 μB/cell
**Fermi-level density of states**: 3.81 states/eV per cell
**Energy of formation from the pure elements**: -0.094 eV/atom

abc: 6.161 6.161 6.161
angles: 99.60 114.62 114.62
Positions (direct):
Zn (0.000, 0.000, 0.000)
Ba (0.500, 0.750, 0.250)
Ba (0.500, 0.250, 0.750)
Cd (0.000, 0.667, 0.667)
Cd (0.000, 0.333, 0.333)


No. 4
Below is a PBEsol-optimized structure of Co3Ir, with properties calculated at the SCAN level.

Values from the calculation:
**Mass density**: 13.63 g cm⁻³
**M_tot**: 6.517 μB/cell
**Fermi-level density of states**: 3.39 states/eV per cell
**Energy of formation from the pure elements**: 0.028 eV/atom

abc: 3.556 3.556 3.556
angles: 90.00 90.00 90.00
Each line ends with the local moment (μB).
Positions (direct):
Ir (0.500, 0.500, 0.500)  0.67
Co (0.000, 0.000, 0.500)  1.97
Co (0.000, 0.500, 0.000)  1.97
Co (0.500, 0.000, 0.000)  1.97


No. 5
Below is a PBEsol-optimized structure of CdSnAu, with properties calculated at the SCAN level.

Values from the calculation:
**Mass density**: 10.35 g cm⁻³
**M_tot**: 0.000 μB/cell
**Fermi-level density of states**: 0.90 states/eV per cell
**Energy of formation from the pure elements**: -0.265 eV/atom

abc: 4.596 4.596 4.596
angles: 60.00 60.00 60.00
Positions (direct):
Au (0.250, 0.250, 0.250)
Sn (0.500, 0.500, 0.500)
Cd (0.000, 0.000, 0.000)


No. 6
Below is a PBEsol-optimized structure of AlFe3, with properties calculated at the SCAN level.

Values from the calculation:
**Mass density**: 7.02 g cm⁻³
**M_tot**: 7.127 μB/cell
**Fermi-level density of states**: 1.93 states/eV per cell
**Energy of formation from the pure elements**: -0.204 eV/atom

abc: 2.929 2.929 5.360
angles: 90.00 90.00 90.00
Each line ends with the local moment (μB).
Positions (direct):
Fe (0.500, 0.500, 0.264)  2.39
Fe (0.000, 0.000, 0.500)  2.63
Fe (0.500, 0.500, 0.736)  2.39
Al (0.000, 0.000, 0.000)  -0.08


No. 7
Below is a PBEsol-optimized structure of Sc2CoB2Ir5, with properties calculated at the SCAN level.

Values from the calculation:
**Mass density**: 14.49 g cm⁻³
**M_tot**: 5.275 μB/cell
**Fermi-level density of states**: 7.49 states/eV per cell
**Energy of formation from the pure elements**: -0.832 eV/atom

abc: 3.011 9.281 9.281
angles: 90.00 90.00 90.00
Each line ends with the local moment (μB).
Positions (direct):
Sc (0.000, 0.677, 0.177)  -0.01
Sc (0.000, 0.323, 0.823)  -0.01
Sc (0.000, 0.177, 0.323)  -0.01
Sc (0.000, 0.823, 0.677)  -0.01
Co (0.000, 0.000, 0.000)  2.14
Co (0.000, 0.500, 0.500)  2.14
B (0.000, 0.125, 0.625)  0.00
B (0.000, 0.875, 0.375)  0.00
B (0.000, 0.625, 0.875)  0.00
B (0.000, 0.375, 0.125)  0.00
Ir (0.500, 0.215, 0.069)  0.12
Ir (0.500, 0.785, 0.931)  0.12
Ir (0.500, 0.069, 0.785)  0.12
Ir (0.500, 0.715, 0.431)  0.12
Ir (0.500, 0.931, 0.215)  0.12
Ir (0.500, 0.285, 0.569)  0.12
Ir (0.500, 0.569, 0.715)  0.12
Ir (0.500, 0.431, 0.285)  0.12
Ir (0.500, 0.500, 0.000)  0.03
Ir (0.500, 0.000, 0.500)  0.03


No. 8
Below is a PBEsol-optimized structure of ZrTe2, with properties calculated at the SCAN level.

Values from the calculation:
**Mass density**: 6.76 g cm⁻³
**ΔE_f (raw)**: -0.948 eV per atom
**M_tot**: 0.000 μB/cell
**Fermi-level density of states**: 0.81 states/eV per cell

abc: 3.868 3.868 6.567
angles: 90.00 90.00 120.00
Positions (direct):
Te (0.333, 0.667, 0.723)
Te (0.667, 0.333, 0.277)
Zr (0.000, 0.000, 0.000)